Record 1
# PAuIO2

PAuIO2 after structural relaxation (PBE-GGA, the Alexandria database).

Lattice parameters (Å, degrees): 3.741 3.741 6.323 90.00 90.00 90.00
Space group P4/mmm (No. 123)
One atom of each set of equivalent atoms:
P  0.000  0.000  0.000
Au  0.500  0.500  0.500
I  0.000  0.000  0.500
O  0.000  0.500  0.000

formation energy from raw total energies: -0.11 eV/atom
energy above the lowest structure with this stoichiometry: 0.000 eV/atom

Record 2
# CaRhBr

CaRhBr after structural relaxation (PBE-GGA, the Alexandria database).

Lattice parameters (Å, degrees): 4.8558 4.8558 9.3631 90.00 90.00 120.00
Space group P6_3/mmc (No. 194)
One atom of each set of equivalent atoms:
Ca  0.3333  0.6667  0.2500
Rh  0.0000  0.0000  0.0000
Br  0.0000  0.0000  0.2500

formation energy from raw total energies: -0.08 eV/atom
energy above the lowest structure with this stoichiometry: 0.931 eV/atom

Record 3
# Tb5Dy6Tm2

Tb5Dy6Tm2 after structural relaxation (PBE-GGA, the Alexandria database).

Lattice parameters (Å, degrees): 11.536 20.184 3.552 90.00 90.00 90.00
Space group Pbam (No. 55)
One atom of each set of equivalent atoms:
Tb  0.000  0.000  0.000
Tb  0.087  0.272  0.000
Tb  0.199  0.551  0.000
Dy  0.059  0.419  0.500
Dy  0.082  0.131  0.500
Dy  0.173  0.862  0.000
Tm  0.169  0.709  0.500

ΔE_f: 98 meV/atom

Record 4
# MgZnCd2

MgZnCd2 after structural relaxation (PBE-GGA, the Alexandria database).

Lattice parameters (Å, degrees): 3.175 4.145 6.188 90.00 90.00 90.00
Space group Pmm2 (No. 25)
One atom of each set of equivalent atoms:
Mg  0.000  0.000  0.000
Zn  0.500  0.500  0.232
Cd  0.000  0.000  0.474
Cd  0.500  0.500  0.745

ΔE_f: -13 meV/atom
energy above the lowest structure with this stoichiometry: 0.008 eV/atom

Record 5
# KRbCu2Br6

KRbCu2Br6 after structural relaxation (PBE-GGA, the Alexandria database).

Lattice parameters (Å, degrees): 12.052 13.964 9.874 90.00 112.33 90.00
Space group C2/c (No. 15)
One atom of each set of equivalent atoms:
K  0.000  0.048  0.250
Rb  0.000  0.368  0.750
Cu  0.223  0.361  0.177
Br  0.096  0.150  0.619
Br  0.150  0.210  0.122
Br  0.187  0.486  0.585

formation energy from raw total energies: -0.83 eV/atom

Record 6
# SiHgAu2

SiHgAu2 after structural relaxation (PBE-GGA, the Alexandria database).

Lattice parameters (Å, degrees): 2.825 3.538 7.950 90.00 90.00 90.00
Space group Pmmm (No. 47)
One atom of each set of equivalent atoms:
Si  0.000  0.000  0.000
Hg  0.500  0.000  0.500
Au  0.000  0.500  0.230

formation energy from raw total energies: 0.14 eV/atom
energy above the lowest structure with this stoichiometry: 0.080 eV/atom

Record 7
# Dy2Th

Dy2Th after structural relaxation (PBE-GGA, the Alexandria database).

Lattice parameters (Å, degrees): 4.133 4.133 11.130 90.00 90.00 90.00
Space group I4/mmm (No. 139)
One atom of each set of equivalent atoms:
Dy  0.000  0.000  0.171
Th  0.000  0.000  0.500

ΔE_f: 130 meV/atom
energy above the lowest structure with this stoichiometry: 0.142 eV/atom

Record 8
# Pa2MnFe

Pa2MnFe after structural relaxation (PBE-GGA, the Alexandria database).

Lattice parameters (Å, degrees): 6.638 6.638 6.638 90.00 90.00 90.00
Space group Fm-3m (No. 225)
One atom of each set of equivalent atoms:
Pa  0.250  0.250  0.250
Mn  0.000  0.000  0.000
Fe  0.000  0.000  0.500

ΔE_f: 108 meV/atom
energy above the lowest structure with this stoichiometry: 0.008 eV/atom